# 1
Material: Sr2Ca
Method: DFT, GGA-PBE
State: relaxed

Geometry as POSCAR:
```
Sr2Ca
1.0
-3.670 8.164 -6.361
-0.175 -7.763 7.764
2.154 4.555 4.604
Ca Sr
2 4
Cartesian
-0.653 1.599 3.782 Ca
-3.668 8.157 -6.355 Ca
0.535 -3.815 8.583 Sr
-1.822 6.926 -0.942 Sr
-1.362 -2.356 2.968 Sr
-2.500 2.831 -1.631 Sr
```

Output
As for the density of states at the Fermi level: 1.027 states/eV per atom. The magnetization is 0.01 μB/f.u. The formation enthalpy at 0 K is 0.02 eV per atom. The relative energy among the computed polymorphs comes out at 0.005 eV/atom. As for the space-group type: Cmcm, No. 63.



# 2
Material: Sr4Ca
Method: DFT, GGA-PBE
State: relaxed

Geometry as POSCAR:
```
Sr4Ca
1.0
7.604 2.334 0.000
0.773 6.350 0.000
0.000 0.000 11.946
Sr Ca
8 2
Cartesian
6.417 5.707 10.672 Sr
6.677 5.664 4.157 Sr
1.960 2.977 1.274 Sr
2.347 6.152 10.672 Sr
2.086 6.195 4.157 Sr
6.030 2.532 1.274 Sr
6.291 2.489 7.789 Sr
1.700 3.020 7.789 Sr
3.995 2.755 4.703 Ca
4.382 5.930 7.243 Ca
```

Output
As for the density of states at the Fermi level: 1.152 states/eV per atom. The magnetization is 0.00 μB/f.u. The formation enthalpy at 0 K is 0.12 eV per atom. The relative energy among the computed polymorphs comes out at 0.108 eV/atom. As for the space-group type: P2/c, No. 13.



Repeat the first record exactly.
Material: Sr2Ca
Method: DFT, GGA-PBE
State: relaxed

Geometry as POSCAR:
```
Sr2Ca
1.0
-3.670 8.164 -6.361
-0.175 -7.763 7.764
2.154 4.555 4.604
Ca Sr
2 4
Cartesian
-0.653 1.599 3.782 Ca
-3.668 8.157 -6.355 Ca
0.535 -3.815 8.583 Sr
-1.822 6.926 -0.942 Sr
-1.362 -2.356 2.968 Sr
-2.500 2.831 -1.631 Sr
```

Output
As for the density of states at the Fermi level: 1.027 states/eV per atom. The magnetization is 0.01 μB/f.u. The formation enthalpy at 0 K is 0.02 eV per atom. The relative energy among the computed polymorphs comes out at 0.005 eV/atom. As for the space-group type: Cmcm, No. 63.



> The highest magnetization belongs to which entry?

Sr2Ca



> Among the records above, which one has the highest formation enthalpy at 0 K?

Sr4Ca